First-principles (SCAN) data for a PBEsol-optimized structure of TiAgPO5, as listed in the Alexandria database.

Summary:
E_tot	-13.51	eV per atom
D(E_F)	0.0	states/eV per cell
mass density	4.27	Mg/m³
space group	Pna2_1 (33)
volume	829.7	Å³ per cell
E_form (uncorrected)	-2.391	eV/atom
magnetic moment	0.000	μB per formula unit

a b c (Å): 12.467 6.297 10.569
angles (deg): 90.00 90.00 90.00
Element x y z (fractional)
1 Ti 0.128 0.050 0.000
2 Ti 0.216 0.307 0.727
3 Ti 0.284 0.807 0.227
4 Ti 0.372 0.550 0.500
5 Ti 0.628 0.450 0.000
6 Ti 0.716 0.193 0.727
7 Ti 0.784 0.693 0.227
8 Ti 0.872 0.950 0.500
9 Ag 0.119 0.764 0.628
10 Ag 0.173 0.328 0.277
11 Ag 0.327 0.828 0.777
12 Ag 0.381 0.264 0.128
13 Ag 0.619 0.736 0.628
14 Ag 0.673 0.172 0.277
15 Ag 0.827 0.672 0.777
16 Ag 0.881 0.236 0.128
17 P 0.027 0.850 0.271
18 P 0.184 0.555 0.997
19 P 0.316 0.055 0.497
20 P 0.473 0.350 0.771
21 P 0.527 0.650 0.271
22 P 0.684 0.945 0.997
23 P 0.816 0.445 0.497
24 P 0.973 0.150 0.771
25 O 0.011 0.911 0.411
26 O 0.031 0.050 0.184
27 O 0.064 0.303 0.726
28 O 0.108 0.747 0.996
29 O 0.123 0.358 0.043
30 O 0.132 0.724 0.259
31 O 0.201 0.075 0.859
32 O 0.219 0.094 0.588
33 O 0.230 0.523 0.863
34 O 0.248 0.520 0.614
35 O 0.252 0.020 0.114
36 O 0.270 0.023 0.363
37 O 0.281 0.594 0.088
38 O 0.299 0.575 0.359
39 O 0.368 0.224 0.759
40 O 0.377 0.858 0.543
41 O 0.392 0.247 0.496
42 O 0.436 0.803 0.226
43 O 0.469 0.550 0.684
44 O 0.489 0.411 0.911
45 O 0.511 0.589 0.411
46 O 0.531 0.450 0.184
47 O 0.564 0.197 0.726
48 O 0.608 0.753 0.996
49 O 0.623 0.142 0.043
50 O 0.632 0.776 0.259
51 O 0.701 0.425 0.859
52 O 0.719 0.406 0.588
53 O 0.730 0.977 0.863
54 O 0.748 0.980 0.614
55 O 0.752 0.480 0.114
56 O 0.770 0.477 0.363
57 O 0.781 0.906 0.088
58 O 0.799 0.925 0.359
59 O 0.868 0.276 0.759
60 O 0.877 0.642 0.543
61 O 0.892 0.253 0.496
62 O 0.936 0.697 0.226
63 O 0.969 0.950 0.684
64 O 0.989 0.089 0.911